# SiAs2AuSe | Alexandria via LeMat-Bulk | GGA-PBE | optimized geometry
data_SiAs2AuSe
_chemical_formula_sum 'Si1 As2 Au1 Se1'
_space_group_name_H-M_alt 'P 1'
_space_group_IT_number 1
_cell_length_a 4.807
_cell_length_b 4.807
_cell_length_c 4.724
_cell_angle_alpha 90.00
_cell_angle_beta 90.00
_cell_angle_gamma 90.00
loop_
_space_group_symop_operation_xyz
'x,y,z'
loop_
_atom_site_label
_atom_site_type_symbol
_atom_site_fract_x
_atom_site_fract_y
_atom_site_fract_z
_atom_site_occupancy
Se1 Se 0.000 0.000 0.500 1
As1 As 0.000 0.500 0.000 1
As2 As 0.500 0.000 0.000 1
Au1 Au 0.500 0.500 0.500 1
Si1 Si 0.000 0.000 0.000 1
# Total magnetization = 0.000 Bohr magnetons per cell
# Formation energy without anion corrections = 0.692 eV/atom